A plane-wave DFT calculation with GGA-PBE was carried out for CuOs3 after structural relaxation.

```
data_CuOs3
_chemical_formula_sum 'Cu2 Os6'
_symmetry_space_group_name_H-M 'P 63/m m c'
_symmetry_Int_Tables_number 194
_symmetry_space_group_name_Hall '-P 6c 2c'
_cell_length_a 5.4427
_cell_length_b 5.4427
_cell_length_c 4.3258
_cell_angle_alpha 90.00
_cell_angle_beta 90.00
_cell_angle_gamma 120.00
loop_
_atom_site_label
_atom_site_type_symbol
_atom_site_fract_x
_atom_site_fract_y
_atom_site_fract_z
_atom_site_occupancy
Cu1 Cu 0.3333 0.6667 0.2500 1
Os1 Os 0.1721 0.3441 0.7500 1
```

Computed properties:
Energy above the lowest structure with this stoichiometry (meV/atom): 237
ρ (Mg/m³): 18.98
Magnetic moment (μB per formula unit): 0.00

***

A plane-wave DFT calculation with GGA-PBE was carried out for CuOs3 after structural relaxation.

```
data_CuOs3
_chemical_formula_sum 'Cu2 Os6'
_symmetry_space_group_name_H-M 'I 4/m m m'
_symmetry_Int_Tables_number 139
_symmetry_space_group_name_Hall '-I 4 2'
_cell_length_a 3.761
_cell_length_b 3.761
_cell_length_c 7.866
_cell_angle_alpha 90.00
_cell_angle_beta 90.00
_cell_angle_gamma 90.00
loop_
_atom_site_label
_atom_site_type_symbol
_atom_site_fract_x
_atom_site_fract_y
_atom_site_fract_z
_atom_site_occupancy
Cu1 Cu 0.000 0.000 0.000 1
Os1 Os 0.000 0.000 0.500 1
Os2 Os 0.000 0.500 0.250 1
```

Computed properties:
Energy above the lowest structure with this stoichiometry (meV/atom): 259
ρ (Mg/m³): 18.93
Magnetic moment (μB per formula unit): 0.00

***

A plane-wave DFT calculation with GGA-PBE was carried out for Cu3Os after structural relaxation.

```
data_Cu3Os
_chemical_formula_sum 'Cu3 Os1'
_symmetry_space_group_name_H-M 'P 4/m m m'
_symmetry_Int_Tables_number 123
_symmetry_space_group_name_Hall '-P 4 2'
_cell_length_a 4.448
_cell_length_b 4.448
_cell_length_c 2.593
_cell_angle_alpha 90.00
_cell_angle_beta 90.00
_cell_angle_gamma 90.00
loop_
_atom_site_label
_atom_site_type_symbol
_atom_site_fract_x
_atom_site_fract_y
_atom_site_fract_z
_atom_site_occupancy
Cu1 Cu 0.000 0.000 0.000 1
Cu2 Cu 0.000 0.500 0.500 1
Os1 Os 0.500 0.500 0.000 1
```

Computed properties:
Energy above the lowest structure with this stoichiometry (meV/atom): 140
ρ (Mg/m³): 12.33
Magnetic moment (μB per formula unit): 0.00

***

A plane-wave DFT calculation with GGA-PBE was carried out for CuOs3 after structural relaxation.

```
data_CuOs3
_chemical_formula_sum 'Cu1 Os3'
_symmetry_space_group_name_H-M 'P -6 m 2'
_symmetry_Int_Tables_number 187
_symmetry_space_group_name_Hall 'P -6 2'
_cell_length_a 2.7383
_cell_length_b 2.7383
_cell_length_c 8.6421
_cell_angle_alpha 90.00
_cell_angle_beta 90.00
_cell_angle_gamma 120.00
loop_
_atom_site_label
_atom_site_type_symbol
_atom_site_fract_x
_atom_site_fract_y
_atom_site_fract_z
_atom_site_occupancy
Cu1 Cu 0.0000 0.0000 0.0000 1
Os1 Os 0.0000 0.0000 0.5000 1
Os2 Os 0.6667 0.3333 0.2537 1
```

Computed properties:
Energy above the lowest structure with this stoichiometry (meV/atom): 0
ρ (Mg/m³): 18.77
Magnetic moment (μB per formula unit): 0.00

***

A plane-wave DFT calculation with GGA-PBE was carried out for CuOs5 after structural relaxation.

```
data_CuOs5
_chemical_formula_sum 'Cu1 Os5'
_symmetry_space_group_name_H-M 'P 6/m m m'
_symmetry_Int_Tables_number 191
_symmetry_space_group_name_Hall '-P 6 2'
_cell_length_a 5.0006
_cell_length_b 5.0006
_cell_length_c 4.5648
_cell_angle_alpha 90.00
_cell_angle_beta 90.00
_cell_angle_gamma 120.00
loop_
_atom_site_label
_atom_site_type_symbol
_atom_site_fract_x
_atom_site_fract_y
_atom_site_fract_z
_atom_site_occupancy
Cu1 Cu 0.0000 0.0000 0.0000 1
Os1 Os 0.0000 0.5000 0.5000 1
Os2 Os 0.3333 0.6667 0.0000 1
```

Computed properties:
Energy above the lowest structure with this stoichiometry (meV/atom): 807
ρ (Mg/m³): 17.04
Magnetic moment (μB per formula unit): 0.00

***

A plane-wave DFT calculation with GGA-PBE was carried out for Cu3Os after structural relaxation.

```
data_Cu3Os
_chemical_formula_sum 'Cu6 Os2'
_symmetry_space_group_name_H-M 'C 1 2/m 1'
_symmetry_Int_Tables_number 12
_symmetry_space_group_name_Hall '-C 2y'
_cell_length_a 8.778
_cell_length_b 2.545
_cell_length_c 4.622
_cell_angle_alpha 90.00
_cell_angle_beta 99.22
_cell_angle_gamma 90.00
loop_
_atom_site_label
_atom_site_type_symbol
_atom_site_fract_x
_atom_site_fract_y
_atom_site_fract_z
_atom_site_occupancy
Cu1 Cu 0.000 0.000 0.000 1
Cu2 Cu 0.250 0.000 0.751 1
Os1 Os 0.000 0.500 0.500 1
```

Computed properties:
Energy above the lowest structure with this stoichiometry (meV/atom): 90
ρ (Mg/m³): 12.41
Magnetic moment (μB per formula unit): 0.00

***

A plane-wave DFT calculation with GGA-PBE was carried out for Cu2Os after structural relaxation.

```
data_Cu2Os
_chemical_formula_sum 'Cu6 Os3'
_symmetry_space_group_name_H-M 'P -6 2 m'
_symmetry_Int_Tables_number 189
_symmetry_space_group_name_Hall 'P -6 -2'
_cell_length_a 7.4298
_cell_length_b 7.4298
_cell_length_c 2.5023
_cell_angle_alpha 90.00
_cell_angle_beta 90.00
_cell_angle_gamma 120.00
loop_
_atom_site_label
_atom_site_type_symbol
_atom_site_fract_x
_atom_site_fract_y
_atom_site_fract_z
_atom_site_occupancy
Cu1 Cu 0.0000 0.3056 0.0000 1
Cu2 Cu 0.0000 0.6354 0.5000 1
Os1 Os 0.0000 0.0000 0.5000 1
Os2 Os 0.3333 0.6667 0.0000 1
```

Computed properties:
Energy above the lowest structure with this stoichiometry (meV/atom): 317
ρ (Mg/m³): 13.21
Magnetic moment (μB per formula unit): 0.20

***

A plane-wave DFT calculation with GGA-PBE was carried out for Cu2Os3 after structural relaxation.

```
data_Cu2Os3
_chemical_formula_sum 'Cu6 Os9'
_symmetry_space_group_name_H-M 'R -3 m'
_symmetry_Int_Tables_number 166
_symmetry_space_group_name_Hall '-R 3 2"'
_cell_length_a 2.6985
_cell_length_b 2.6985
_cell_length_c 32.7208
_cell_angle_alpha 90.00
_cell_angle_beta 90.00
_cell_angle_gamma 120.00
loop_
_atom_site_label
_atom_site_type_symbol
_atom_site_fract_x
_atom_site_fract_y
_atom_site_fract_z
_atom_site_occupancy
Cu1 Cu 0.0000 0.0000 0.1007 1
Os1 Os 0.0000 0.0000 0.3009 1
Os2 Os 0.0000 0.0000 0.5000 1
```

Computed properties:
Energy above the lowest structure with this stoichiometry (meV/atom): 0
ρ (Mg/m³): 16.85
Magnetic moment (μB per formula unit): 0.00

***

Record order is preserved below.
DFT formation energy: 0.393; 0.415; 0.326; 0.156; 0.984; 0.276; 0.526; 0.299 eV/atom